[1]
The following is a DFT calculation (PBE) of a relaxed structure of Ce3YN4.

Lattice parameters (Å, degrees): 7.0998 10.0275 3.5477 90.00 90.00 90.00
Space group Cmmm (No. 65)
One atom of each set of equivalent atoms:
Ce1 0.0000 0.0000 0.0000
Ce2 0.2500 0.2500 0.5000
Y1 0.0000 0.5000 0.0000
N1 0.0000 0.2517 0.0000
N2 0.2489 0.5000 0.5000

Computed properties:
Calculated volume, A^3/atom: 15.8
Energy relative to the elements, uncorrected, kJ per mole of atoms: -148.5
M_tot, μB/atom: 0.1043
N(E_F), states/eV per cell: 14.86

[2]
The following is a DFT calculation (PBE) of a relaxed structure of CaNd5Au6.

Lattice parameters (Å, degrees): 16.5931 7.3949 5.2515 90.00 108.35 90.00
Space group C2/m (No. 12)
One atom of each set of equivalent atoms:
Ca1 0.0000 0.0000 0.0000
Nd1 0.0000 0.5000 0.0000
Nd2 0.1611 0.0000 0.6614
Nd3 0.1685 0.5000 0.6679
Au1 0.0000 0.2594 0.5000
Au2 0.1692 0.2550 0.1690

Computed properties:
Calculated volume, A^3/atom: 25.5
Calculated formation energy, meV/atom: -776
M_tot, μB/atom: 0.0000
N(E_F), states/eV per cell: 16.44

[3]
The following is a DFT calculation (PBE) of a relaxed structure of Mn2NiCl.

Lattice parameters (Å, degrees): 3.5661 3.5661 9.7509 90.00 90.00 90.00
Space group I-4m2 (No. 119)
One atom of each set of equivalent atoms:
Mn1 0.0000 0.0000 0.0000
Mn2 0.0000 0.5000 0.2500
Ni1 0.0000 0.5000 0.7500
Cl1 0.0000 0.0000 0.5000

Computed properties:
Calculated volume, A^3/atom: 15.5
Relative energy among the computed polymorphs, eV/atom: 0.4687
Energy relative to the elements, uncorrected, kJ per mole of atoms: 42.6
M_tot, μB/atom: 2.2582
N(E_F), states/eV per cell: 4.36

Copy entry 1 word for word.
The following is a DFT calculation (PBE) of a relaxed structure of Ce3YN4.

Lattice parameters (Å, degrees): 7.0998 10.0275 3.5477 90.00 90.00 90.00
Space group Cmmm (No. 65)
One atom of each set of equivalent atoms:
Ce1 0.0000 0.0000 0.0000
Ce2 0.2500 0.2500 0.5000
Y1 0.0000 0.5000 0.0000
N1 0.0000 0.2517 0.0000
N2 0.2489 0.5000 0.5000

Computed properties:
Calculated volume, A^3/atom: 15.8
Energy relative to the elements, uncorrected, kJ per mole of atoms: -148.5
M_tot, μB/atom: 0.1043
N(E_F), states/eV per cell: 14.86

> M_tot of number 1 (Ce3YN4)?

0.1043 μB/atom